A relaxed Li2LaHgH crystal. Source: the Alexandria database, functional PBE-GGA.

a = 4.498 Å, b = 4.498 Å, c = 4.992 Å
α = 90.00°, β = 90.00°, γ = 90.00°
Positions (direct):
Li 0.000 0.500 0.000
Li 0.500 0.000 0.000
La 0.000 0.000 0.500
Hg 0.500 0.500 0.500
H 0.000 0.000 0.000

Properties
As for the space group: P4/mmm, No. 123. The total energy is -13.7 eV per cell.

---

A relaxed Mg2Al2Ga7 crystal. Source: the Alexandria database, functional PBE-GGA.

a = 6.081 Å, b = 6.081 Å, c = 7.674 Å
α = 114.25°, β = 114.25°, γ = 58.48°
Positions (direct):
Mg 0.225 0.225 0.460
Mg 0.775 0.775 0.540
Al 0.245 0.755 0.500
Al 0.755 0.245 0.500
Ga 0.000 0.000 0.000
Ga 0.031 0.486 0.836
Ga 0.486 0.031 0.836
Ga 0.490 0.490 0.184
Ga 0.510 0.510 0.816
Ga 0.514 0.969 0.164
Ga 0.969 0.514 0.164

Properties
As for the space group: C2/m, No. 12. The calculation puts the formation energy at 34 meV/atom. Its excess energy over the best structure of this formula in the dataset is 0.047 eV per atom.